A plane-wave DFT calculation with PBE with a Hubbard U was carried out for CaV2SeO8 after structural relaxation.

Cell lengths 8.684, 5.755, 6.974 Å; angles 90.00, 90.22, 90.00 degrees
Space group C2/m (No. 12)
One atom of each set of equivalent atoms:
Ca  0.000  0.000  0.000
V  0.140  0.500  0.725
Se  0.000  0.000  0.500
O  0.024  0.240  0.716
O  0.229  0.000  0.462
O  0.232  0.500  0.935

Summary:
Total DFT energy (no corrections): -81.1 eV per formula unit